Computed, not measured: a geometry-optimized PrSiHg structure at the PBE-GGA level of DFT.

calculated volume: 145.7 Å³/cell
ρ: 8.42 Mg/m³
E_tot: -24.36 eV per cell

Geometry as extended XYZ:
```
6
Lattice="8.3034 -2.2530 0.0000 8.3034 2.2530 0.0000 -0.7076 0.0000 3.8951" Properties=species:S:1:pos:R:3 pbc="T T T"
Pr 1.4193 0.0000 1.2689
Pr 14.4799 0.0000 2.6262
Si 7.4349 0.0000 0.8513
Si 8.4643 0.0000 3.0438
Hg 4.6430 0.0000 0.7856
Hg 11.2562 0.0000 3.1095
```



Computed, not measured: a geometry-optimized PrSiHg structure at the PBE-GGA level of DFT.

calculated volume: 78.5 Å³/cell
ρ: 7.81 Mg/m³
E_tot: -11.28 eV per cell

Geometry as extended XYZ:
```
3
Lattice="0.0000 3.3991 3.3991 3.3991 0.0000 3.3991 3.3991 3.3991 0.0000" Properties=species:S:1:pos:R:3 pbc="T T T"
Pr 0.0000 0.0000 0.0000
Si 5.0987 5.0987 5.0987
Hg 3.3991 3.3991 3.3991
```



Computed, not measured: a geometry-optimized Pr2Sn3Hg3 structure at the PBE-GGA level of DFT.

calculated volume: 210.6 Å³/cell
ρ: 9.78 Mg/m³
E_tot: -26.36 eV per cell

Geometry as extended XYZ:
```
8
Lattice="4.7079 0.0000 0.0000 0.0000 4.8373 0.0000 0.0000 0.0000 9.2472" Properties=species:S:1:pos:R:3 pbc="T T T"
Pr 0.0000 0.0000 2.2870
Pr 0.0000 0.0000 6.9602
Sn 0.0000 2.4187 0.0000
Sn 2.3540 0.0000 0.0000
Sn 2.3540 0.0000 4.6236
Hg 0.0000 2.4187 4.6236
Hg 2.3540 2.4187 2.3434
Hg 2.3540 2.4187 6.9039
```



Computed, not measured: a geometry-optimized PrSnHg2 structure at the PBE-GGA level of DFT.

calculated volume: 104.5 Å³/cell
ρ: 10.50 Mg/m³
E_tot: -11.24 eV per cell

Geometry as extended XYZ:
```
4
Lattice="4.6192 0.0000 0.0000 0.0000 4.6192 0.0000 0.0000 0.0000 4.8973" Properties=species:S:1:pos:R:3 pbc="T T T"
Pr 0.0000 0.0000 0.0000
Sn 2.3096 2.3096 0.0000
Hg 0.0000 2.3096 2.4487
Hg 2.3096 0.0000 2.4487
```



Computed, not measured: a geometry-optimized PrSn2Hg structure at the PBE-GGA level of DFT.

calculated volume: 106.1 Å³/cell
ρ: 9.06 Mg/m³
E_tot: -15.09 eV per cell

Geometry as extended XYZ:
```
4
Lattice="4.7951 0.0000 0.0000 0.0000 4.7951 0.0000 0.0000 0.0000 4.6145" Properties=species:S:1:pos:R:3 pbc="T T T"
Pr 0.0000 0.0000 0.0000
Sn 0.0000 2.3976 2.3073
Sn 2.3976 0.0000 2.3073
Hg 2.3976 2.3976 0.0000
```



Computed, not measured: a geometry-optimized SrPrHg structure at the PBE-GGA level of DFT.

calculated volume: 104.8 Å³/cell
ρ: 6.80 Mg/m³
E_tot: -5.99 eV per cell

Geometry as extended XYZ:
```
3
Lattice="0.0000 3.7421 3.7421 3.7421 0.0000 3.7421 3.7421 3.7421 0.0000" Properties=species:S:1:pos:R:3 pbc="T T T"
Sr 0.0000 0.0000 0.0000
Pr 5.6132 5.6132 5.6132
Hg 3.7421 3.7421 3.7421
```



Computed, not measured: a geometry-optimized TbPrHg2 structure at the PBE-GGA level of DFT.

DFT formation energy: -478 meV/atom
calculated volume: 108.7 Å³/cell
ρ: 10.71 Mg/m³

Geometry as extended XYZ:
```
4
Lattice="3.7590 0.0000 0.0000 0.0000 3.7590 0.0000 0.0000 0.0000 7.6946" Properties=species:S:1:pos:R:3 pbc="T T T"
Tb 0.0000 0.0000 0.0000
Pr 0.0000 0.0000 3.8473
Hg 1.8795 1.8795 1.7760
Hg 1.8795 1.8795 5.9186
```



Computed, not measured: a geometry-optimized TbPrHg6 structure at the PBE-GGA level of DFT.

DFT formation energy: -372 meV/atom
calculated volume: 193.9 Å³/cell
ρ: 12.88 Mg/m³

Geometry as extended XYZ:
```
8
Lattice="6.6663 0.0000 0.0000 -3.3331 5.7732 0.0000 0.0000 0.0000 5.0379" Properties=species:S:1:pos:R:3 pbc="T T T"
Tb 0.0000 0.0000 0.0000
Pr 0.0000 3.8488 2.5189
Hg 1.6653 0.9615 2.5189
Hg 3.3331 0.0504 0.0000
Hg 1.7102 2.8614 0.0000
Hg 5.0010 0.9615 2.5189
Hg 3.3331 3.8503 2.5189
Hg 4.9560 2.8614 0.0000
```



Repeat the sixth record exactly.
Computed, not measured: a geometry-optimized SrPrHg structure at the PBE-GGA level of DFT.

calculated volume: 104.8 Å³/cell
ρ: 6.80 Mg/m³
E_tot: -5.99 eV per cell

Geometry as extended XYZ:
```
3
Lattice="0.0000 3.7421 3.7421 3.7421 0.0000 3.7421 3.7421 3.7421 0.0000" Properties=species:S:1:pos:R:3 pbc="T T T"
Sr 0.0000 0.0000 0.0000
Pr 5.6132 5.6132 5.6132
Hg 3.7421 3.7421 3.7421
```



> What is the calculated volume in the fifth record?

106.1 Å³/cell



> Which value of calculated volume does entry 6 give?

104.8 Å³/cell